No. 1
A plane-wave DFT calculation with PBE was carried out for crystalline DyPuHgPt at its relaxed geometry.

```
DyPuHgPt
1.0
7.236 0.000 0.000
0.000 7.236 0.000
0.000 0.000 7.236
Dy Pu Hg Pt
4 4 4 4
direct
0.000 0.000 0.000
0.000 0.500 0.500
0.500 0.000 0.500
0.500 0.500 0.000
0.000 0.000 0.500
0.000 0.500 0.000
0.500 0.000 0.000
0.500 0.500 0.500
0.250 0.250 0.250
0.250 0.750 0.750
0.750 0.250 0.750
0.750 0.750 0.250
0.250 0.250 0.750
0.250 0.750 0.250
0.750 0.250 0.250
0.750 0.750 0.750
```

Spin magnetization: 1.3967 μB/atom
Energy of formation from the pure elements: -2.275 eV/f.u.

=====

No. 2
A plane-wave DFT calculation with PBE was carried out for crystalline Sc2BiPd at its relaxed geometry.

```
Sc2BiPd
1.0
3.717 0.000 0.000
-1.859 3.219 0.000
0.000 0.000 27.218
Sc Bi Pd
6 3 3
direct
0.000 0.000 0.110
0.000 0.000 0.890
0.333 0.667 0.557
0.333 0.667 0.776
0.667 0.333 0.224
0.667 0.333 0.443
0.000 0.000 0.000
0.333 0.667 0.667
0.667 0.333 0.333
0.000 0.000 0.500
0.333 0.667 0.167
0.667 0.333 0.833
```

Spin magnetization: 0.0000 μB/atom
Energy of formation from the pure elements: -1.072 eV/f.u.

=====

No. 3
A plane-wave DFT calculation with PBE was carried out for crystalline CsK2Li at its relaxed geometry.

```
CsK2Li
1.0
10.096 0.000 0.000
0.000 10.096 0.000
0.000 0.000 10.096
Cs K Li
4 8 4
direct
0.000 0.000 0.000
0.000 0.500 0.500
0.500 0.000 0.500
0.500 0.500 0.000
0.250 0.250 0.250
0.250 0.250 0.750
0.250 0.750 0.250
0.250 0.750 0.750
0.750 0.250 0.250
0.750 0.250 0.750
0.750 0.750 0.250
0.750 0.750 0.750
0.000 0.000 0.500
0.000 0.500 0.000
0.500 0.000 0.000
0.500 0.500 0.500
```

Spin magnetization: 0.0000 μB/atom
Energy of formation from the pure elements: 0.509 eV/f.u.

=====

No. 4
A plane-wave DFT calculation with PBE was carried out for crystalline KFeOs2 at its relaxed geometry.

```
KFeOs2
1.0
2.696 0.000 0.000
0.000 2.696 0.000
0.000 0.000 9.242
K Fe Os
1 1 2
direct
0.000 0.000 0.000
0.000 0.000 0.500
0.500 0.500 0.312
0.500 0.500 0.688
```

Spin magnetization: 0.4762 μB/atom
Energy of formation from the pure elements: 3.419 eV/f.u.

=====

No. 5
A plane-wave DFT calculation with PBE was carried out for crystalline AcBPd6Au at its relaxed geometry.

```
AcBPd6Au
1.0
-2.952 4.666 5.899
2.952 -4.666 5.899
2.952 4.666 -5.899
Ac B Pd Au
2 2 12 2
direct
0.427 0.177 0.250
0.573 0.823 0.750
0.000 0.500 0.500
0.500 0.500 0.000
0.112 0.376 0.244
0.112 0.868 0.736
0.195 0.945 0.250
0.289 0.539 0.750
0.369 0.132 0.744
0.369 0.624 0.236
0.631 0.376 0.764
0.631 0.868 0.256
0.711 0.461 0.250
0.805 0.055 0.750
0.888 0.132 0.264
0.888 0.624 0.756
0.000 0.000 0.500
0.000 0.500 0.000
```

Spin magnetization: 0.0000 μB/atom
Energy of formation from the pure elements: -1.989 eV/f.u.

=====

No. 6
A plane-wave DFT calculation with PBE was carried out for crystalline Ce3Nd12Sc5 at its relaxed geometry.

```
Ce3Nd12Sc5
1.0
-9.099 9.099 9.099
9.099 -9.099 9.099
9.099 9.099 -9.099
Ce Nd Sc
12 48 20
direct
0.125 0.250 0.375
0.125 0.375 0.750
0.250 0.375 0.125
0.250 0.875 0.625
0.375 0.125 0.250
0.375 0.750 0.125
0.625 0.250 0.875
0.625 0.875 0.750
0.750 0.125 0.375
0.750 0.625 0.875
0.875 0.625 0.250
0.875 0.750 0.625
0.060 0.624 0.395
0.060 0.936 0.665
0.064 0.229 0.124
0.064 0.335 0.940
0.105 0.729 0.665
0.105 0.876 0.440
0.124 0.064 0.229
0.124 0.560 0.895
0.165 0.229 0.605
0.165 0.436 0.560
0.229 0.124 0.064
0.229 0.605 0.165
0.271 0.335 0.895
0.271 0.436 0.376
0.335 0.895 0.271
0.335 0.940 0.064
0.376 0.271 0.436
0.376 0.605 0.940
0.395 0.060 0.624
0.395 0.835 0.771
0.436 0.376 0.271
0.436 0.560 0.165
0.440 0.105 0.876
0.440 0.835 0.564
0.560 0.165 0.436
0.560 0.895 0.124
0.564 0.440 0.835
0.564 0.624 0.729
0.605 0.165 0.229
0.605 0.940 0.376
0.624 0.395 0.060
0.624 0.729 0.564
0.665 0.060 0.936
0.665 0.105 0.729
0.729 0.564 0.624
0.729 0.665 0.105
0.771 0.395 0.835
0.771 0.876 0.936
0.835 0.564 0.440
0.835 0.771 0.395
0.876 0.440 0.105
0.876 0.936 0.771
0.895 0.124 0.560
0.895 0.271 0.335
0.936 0.665 0.060
0.936 0.771 0.876
0.940 0.064 0.335
0.940 0.376 0.605
0.000 0.000 0.000
0.000 0.000 0.500
0.000 0.500 0.000
0.000 0.500 0.500
0.125 0.750 0.875
0.125 0.875 0.250
0.250 0.125 0.875
0.250 0.625 0.375
0.375 0.250 0.625
0.375 0.625 0.750
0.500 0.000 0.000
0.500 0.000 0.500
0.500 0.500 0.000
0.500 0.500 0.500
0.625 0.375 0.250
0.625 0.750 0.375
0.750 0.375 0.625
0.750 0.875 0.125
0.875 0.125 0.750
0.875 0.250 0.125
```

Spin magnetization: 0.5348 μB/atom
Energy of formation from the pure elements: 20.144 eV/f.u.

=====

No. 7
A plane-wave DFT calculation with PBE was carried out for crystalline ErBe2BRu2 at its relaxed geometry.

```
ErBe2BRu2
1.0
4.099 0.000 0.000
0.000 4.099 0.000
0.000 0.000 4.999
Er Be B Ru
1 2 1 2
direct
0.000 0.000 0.000
0.500 0.500 0.263
0.500 0.500 0.737
0.000 0.000 0.500
0.000 0.500 0.500
0.500 0.000 0.500
```

Spin magnetization: 0.0000 μB/atom
Energy of formation from the pure elements: -2.421 eV/f.u.

=====

No. 8
A plane-wave DFT calculation with PBE was carried out for crystalline Tb4Sm7Sc at its relaxed geometry.

```
Tb4Sm7Sc
1.0
5.983 -2.962 0.000
5.983 2.962 0.000
-5.931 0.000 11.335
Tb Sm Sc
4 7 1
direct
0.051 0.051 0.331
0.368 0.368 0.224
0.632 0.632 0.776
0.949 0.949 0.669
0.000 0.000 0.000
0.216 0.216 0.924
0.267 0.267 0.696
0.365 0.365 0.496
0.635 0.635 0.504
0.733 0.733 0.304
0.784 0.784 0.076
0.500 0.500 0.000
```

Spin magnetization: 0.0001 μB/atom
Energy of formation from the pure elements: 3.182 eV/f.u.

=====

No. 9
A plane-wave DFT calculation with PBE was carried out for crystalline CaMg3Cu2 at its relaxed geometry.

```
CaMg3Cu2
1.0
2.670 -8.250 0.000
2.670 8.250 0.000
0.000 0.000 6.888
Ca Mg Cu
2 6 4
direct
0.000 0.000 0.000
0.000 0.000 0.500
0.089 0.407 0.750
0.179 0.821 0.750
0.407 0.089 0.250
0.593 0.911 0.750
0.821 0.179 0.250
0.911 0.593 0.250
0.287 0.713 0.071
0.287 0.713 0.429
0.713 0.287 0.571
0.713 0.287 0.929
```

Spin magnetization: 0.0000 μB/atom
Energy of formation from the pure elements: 1.201 eV/f.u.

=====

No. 10
A plane-wave DFT calculation with PBE was carried out for crystalline ZnGaAu3 at its relaxed geometry.

```
ZnGaAu3
1.0
4.908 0.000 0.000
0.000 4.908 0.000
0.000 0.000 4.908
Zn Ga Au
1 1 3
direct
0.000 0.000 0.000
0.500 0.500 0.500
0.000 0.000 0.500
0.000 0.500 0.000
0.500 0.000 0.000
```

Spin magnetization: 0.0000 μB/atom
Energy of formation from the pure elements: 1.620 eV/f.u.

=====

No. 11
A plane-wave DFT calculation with PBE was carried out for crystalline Sr2TlGa2 at its relaxed geometry.

```
Sr2TlGa2
1.0
3.864 0.000 0.000
0.000 3.864 0.000
0.000 0.000 20.537
Sr Tl Ga
4 2 4
direct
0.000 0.000 0.109
0.000 0.000 0.891
0.500 0.500 0.391
0.500 0.500 0.609
0.000 0.000 0.500
0.500 0.500 0.000
0.000 0.500 0.250
0.000 0.500 0.750
0.500 0.000 0.250
0.500 0.000 0.750
```

Spin magnetization: 0.0000 μB/atom
Energy of formation from the pure elements: -1.175 eV/f.u.

=====

No. 12
A plane-wave DFT calculation with PBE was carried out for crystalline CuHgCl2 at its relaxed geometry.

```
CuHgCl2
1.0
3.808 0.000 0.000
0.000 3.808 0.000
0.000 0.000 13.842
Cu Hg Cl
2 2 4
direct
0.000 0.000 0.000
0.500 0.500 0.500
0.000 0.500 0.750
0.500 0.000 0.250
0.000 0.000 0.500
0.000 0.500 0.250
0.500 0.000 0.750
0.500 0.500 0.000
```

Spin magnetization: 0.0000 μB/atom

=====

No. 13
A plane-wave DFT calculation with PBE was carried out for crystalline CeZnGa3 at its relaxed geometry.

```
CeZnGa3
1.0
10.488 -2.283 0.000
10.488 2.283 0.000
-0.878 0.000 4.208
Ce Zn Ga
2 2 6
direct
0.089 0.089 0.339
0.911 0.911 0.661
0.354 0.354 0.101
0.646 0.646 0.899
0.204 0.204 0.950
0.287 0.287 0.534
0.472 0.472 0.222
0.528 0.528 0.778
0.713 0.713 0.466
0.796 0.796 0.050
```

Spin magnetization: 0.1733 μB/atom
Energy of formation from the pure elements: -1.640 eV/f.u.

=====

No. 14
A plane-wave DFT calculation with PBE was carried out for crystalline CeBe2F8 at its relaxed geometry.

```
CeBe2F8
1.0
4.847 -2.513 0.000
4.847 2.513 0.000
-1.736 0.000 5.307
Ce Be F
1 2 8
direct
0.000 0.000 0.000
0.208 0.208 0.688
0.792 0.792 0.312
0.103 0.643 0.212
0.159 0.159 0.390
0.357 0.897 0.788
0.371 0.371 0.802
0.629 0.629 0.198
0.643 0.103 0.212
0.841 0.841 0.610
0.897 0.357 0.788
```

Spin magnetization: 0.0104 μB/atom

=====

No. 15
A plane-wave DFT calculation with PBE was carried out for crystalline Sr2AlTe5Pb at its relaxed geometry.

```
Sr2AlTe5Pb
1.0
2.194 -10.324 0.000
2.194 10.324 0.000
0.000 0.000 13.723
Sr Al Te Pb
4 2 10 2
direct
0.109 0.891 0.500
0.121 0.879 0.138
0.879 0.121 0.638
0.891 0.109 0.000
0.438 0.562 0.256
0.562 0.438 0.756
0.044 0.956 0.867
0.278 0.722 0.516
0.317 0.683 0.183
0.362 0.638 0.822
0.498 0.502 0.592
0.502 0.498 0.092
0.638 0.362 0.322
0.683 0.317 0.683
0.722 0.278 0.016
0.956 0.044 0.367
0.217 0.783 0.854
0.783 0.217 0.354
```

Spin magnetization: 0.0000 μB/atom

=====

No. 16
A plane-wave DFT calculation with PBE was carried out for crystalline K3SrZn2F9 at its relaxed geometry.

```
K3SrZn2F9
1.0
6.023 0.000 0.000
-3.012 5.216 0.000
0.000 0.000 7.817
K Sr Zn F
3 1 2 9
direct
0.000 0.000 0.000
0.333 0.667 0.721
0.667 0.333 0.279
0.000 0.000 0.500
0.333 0.667 0.156
0.667 0.333 0.844
0.000 0.500 0.000
0.173 0.347 0.303
0.173 0.827 0.303
0.347 0.173 0.697
0.500 0.000 0.000
0.500 0.500 0.000
0.653 0.827 0.303
0.827 0.173 0.697
0.827 0.653 0.697
```

Spin magnetization: 0.0000 μB/atom

=====

No. 17
A plane-wave DFT calculation with PBE was carried out for crystalline CaCoI at its relaxed geometry.

```
CaCoI
1.0
6.372 0.000 0.000
0.000 6.372 0.000
0.000 0.000 6.372
Ca Co I
4 4 4
direct
0.000 0.000 0.000
0.000 0.500 0.500
0.500 0.000 0.500
0.500 0.500 0.000
0.250 0.250 0.250
0.250 0.750 0.750
0.750 0.250 0.750
0.750 0.750 0.250
0.000 0.000 0.500
0.000 0.500 0.000
0.500 0.000 0.000
0.500 0.500 0.500
```

Spin magnetization: 0.0000 μB/atom

=====

No. 18
A plane-wave DFT calculation with PBE was carried out for crystalline LaPmTeN at its relaxed geometry.

```
LaPmTeN
1.0
3.916 0.000 0.000
0.000 3.967 0.000
0.000 0.000 13.455
La Pm Te N
2 2 2 2
direct
0.000 0.000 0.000
0.500 0.500 0.500
0.000 0.000 0.303
0.500 0.500 0.803
0.000 0.000 0.658
0.500 0.500 0.158
0.000 0.500 0.903
0.500 0.000 0.403
```

Spin magnetization: 0.2447 μB/atom

=====

No. 19
A plane-wave DFT calculation with PBE was carried out for crystalline CsPuHg2I8 at its relaxed geometry.

```
CsPuHg2I8
1.0
7.667 0.000 0.000
0.048 8.494 0.000
1.252 3.616 9.630
Cs Pu Hg I
1 1 2 8
direct
0.000 0.000 0.000
0.000 0.500 0.500
0.471 0.537 0.800
0.529 0.463 0.200
0.099 0.500 0.788
0.180 0.840 0.351
0.326 0.290 0.450
0.467 0.759 0.975
0.533 0.241 0.025
0.674 0.710 0.550
0.820 0.160 0.649
0.901 0.500 0.212
```

Spin magnetization: 0.4167 μB/atom

=====

No. 20
A plane-wave DFT calculation with PBE was carried out for crystalline MgRe2W at its relaxed geometry.

```
MgRe2W
1.0
6.284 0.000 0.000
0.000 6.284 0.000
0.000 0.000 6.284
Mg Re W
4 8 4
direct
0.000 0.000 0.000
0.000 0.500 0.500
0.500 0.000 0.500
0.500 0.500 0.000
0.000 0.000 0.500
0.000 0.500 0.000
0.250 0.250 0.750
0.250 0.750 0.250
0.500 0.000 0.000
0.500 0.500 0.500
0.750 0.250 0.250
0.750 0.750 0.750
0.250 0.250 0.250
0.250 0.750 0.750
0.750 0.250 0.750
0.750 0.750 0.250
```

Spin magnetization: 0.0003 μB/atom
Energy of formation from the pure elements: 1.410 eV/f.u.

=====

Number 1: uncorrected energy -6.888 eV/atom. Number 2: uncorrected energy -5.702 eV/atom. Number 3: uncorrected energy -1.113 eV/atom. Number 4: uncorrected energy -7.150 eV/atom. Number 5: uncorrected energy -5.245 eV/atom. Number 6: uncorrected energy -4.326 eV/atom. Number 7: uncorrected energy -6.611 eV/atom. Number 8: uncorrected energy -4.559 eV/atom. Number 9: uncorrected energy -2.296 eV/atom. Number 10: uncorrected energy -2.502 eV/atom. Number 11: uncorrected energy -2.592 eV/atom. Number 12: uncorrected energy -2.064 eV/atom. Number 13: uncorrected energy -3.586 eV/atom. Number 14: uncorrected energy -5.900 eV/atom. Number 15: uncorrected energy -3.868 eV/atom. Number 16: uncorrected energy -4.453 eV/atom. Number 17: uncorrected energy -3.512 eV/atom. Number 18: uncorrected energy -6.664 eV/atom. Number 19: uncorrected energy -3.088 eV/atom. Number 20: uncorrected energy -9.508 eV/atom.